[1]
Pr2TlIn3 | GGA-PBE | relaxed

```
Pr2TlIn3
1.0
3.767 0.000 0.000
0.000 5.049 0.000
0.000 0.000 8.795
Pr Tl In
2 1 3
Direct
0.000 0.000 0.000 Pr
0.000 0.500 0.498 Pr
0.500 0.500 0.834 Tl
0.500 0.000 0.331 In
0.500 0.000 0.662 In
0.500 0.500 0.169 In
```

Summary:
E: -3.767 eV/atom
Spin magnetization: 0.0 μB/f.u.

***

[2]
Pr2TlIn4 | GGA-PBE | relaxed

```
Pr2TlIn4
1.0
9.229 0.000 0.000
0.000 9.230 0.000
-4.602 0.000 4.897
Pr Tl In
4 2 8
Direct
0.250 0.250 0.000 Pr
0.250 0.750 0.000 Pr
0.750 0.250 0.000 Pr
0.750 0.750 0.000 Pr
0.000 0.000 0.000 Tl
0.500 0.500 0.000 Tl
0.000 0.000 0.500 In
0.000 0.500 0.500 In
0.250 0.250 0.500 In
0.250 0.750 0.500 In
0.500 0.000 0.500 In
0.500 0.500 0.500 In
0.750 0.250 0.500 In
0.750 0.750 0.500 In
```

Summary:
E: -3.584 eV/atom
Spin magnetization: 0.0 μB/f.u.

***

[3]
Pr5TlIn2 | GGA-PBE | relaxed

```
Pr5TlIn2
1.0
-4.199 4.199 7.371
4.199 -4.199 7.371
4.199 4.199 -7.371
Pr Tl In
10 2 4
Direct
0.000 0.000 0.000 Pr
0.017 0.517 0.837 Pr
0.179 0.017 0.500 Pr
0.321 0.821 0.837 Pr
0.483 0.321 0.500 Pr
0.500 0.500 0.000 Pr
0.517 0.679 0.500 Pr
0.679 0.179 0.163 Pr
0.821 0.983 0.500 Pr
0.983 0.483 0.163 Pr
0.250 0.250 0.000 Tl
0.750 0.750 0.000 Tl
0.126 0.374 0.500 In
0.374 0.874 0.249 In
0.626 0.126 0.751 In
0.874 0.626 0.500 In
```

Summary:
Polymorph energy (0 for the lowest one): 0 meV/atom
E: -4.297 eV/atom
Spin magnetization: 0.0 μB/f.u.

***

[4]
PrTlIn2 | GGA-PBE | relaxed

```
PrTlIn2
1.0
4.964 0.000 0.000
-2.482 4.299 0.000
0.000 0.000 16.440
Pr Tl In
3 3 6
Direct
0.000 0.000 0.000 Pr
0.333 0.667 0.667 Pr
0.667 0.333 0.333 Pr
0.000 0.000 0.500 Tl
0.333 0.667 0.167 Tl
0.667 0.333 0.833 Tl
0.000 0.000 0.235 In
0.000 0.000 0.765 In
0.333 0.667 0.431 In
0.333 0.667 0.902 In
0.667 0.333 0.098 In
0.667 0.333 0.569 In
```

Summary:
E: -3.337 eV/atom
Spin magnetization: 0.0 μB/f.u.

***

[5]
Pr6Tl3In | GGA-PBE | relaxed

```
Pr6Tl3In
1.0
12.105 0.000 0.000
0.000 3.807 0.000
-4.132 0.000 14.294
Pr Tl In
12 6 2
Direct
0.008 0.250 0.179 Pr
0.108 0.750 0.415 Pr
0.237 0.250 0.829 Pr
0.317 0.250 0.260 Pr
0.356 0.250 0.627 Pr
0.371 0.750 0.032 Pr
0.629 0.250 0.968 Pr
0.644 0.750 0.373 Pr
0.683 0.750 0.740 Pr
0.763 0.750 0.171 Pr
0.892 0.250 0.585 Pr
0.992 0.750 0.821 Pr
0.121 0.750 0.639 Tl
0.135 0.250 0.016 Tl
0.393 0.750 0.449 Tl
0.607 0.250 0.551 Tl
0.865 0.750 0.984 Tl
0.879 0.250 0.361 Tl
0.457 0.750 0.818 In
0.543 0.250 0.182 In
```

Summary:
Polymorph energy (0 for the lowest one): 95 meV/atom
E: -4.076 eV/atom
Spin magnetization: 0.0 μB/f.u.

***

[6]
Pr5TlIn2 | GGA-PBE | relaxed

```
Pr5TlIn2
1.0
7.188 0.000 0.000
0.000 7.188 0.000
0.000 0.000 9.520
Pr Tl In
10 2 4
Direct
0.000 0.000 0.000 Pr
0.250 0.250 0.250 Pr
0.250 0.250 0.750 Pr
0.250 0.750 0.250 Pr
0.250 0.750 0.750 Pr
0.500 0.500 0.500 Pr
0.750 0.250 0.250 Pr
0.750 0.250 0.750 Pr
0.750 0.750 0.250 Pr
0.750 0.750 0.750 Pr
0.000 0.000 0.499 Tl
0.500 0.500 0.999 Tl
0.000 0.500 0.000 In
0.000 0.500 0.500 In
0.500 0.000 0.000 In
0.500 0.000 0.500 In
```

Summary:
Polymorph energy (0 for the lowest one): 7 meV/atom
E: -4.290 eV/atom
Spin magnetization: 0.0 μB/f.u.

***

[7]
Pr3Tl2In3 | GGA-PBE | relaxed

```
Pr3Tl2In3
1.0
20.242 0.000 0.000
0.000 4.784 0.000
-1.175 0.000 4.778
Pr Tl In
6 4 6
Direct
0.000 0.000 0.000 Pr
0.133 0.000 0.630 Pr
0.367 0.500 0.370 Pr
0.500 0.500 0.000 Pr
0.633 0.500 0.630 Pr
0.867 0.000 0.370 Pr
0.249 0.000 0.248 Tl
0.251 0.500 0.752 Tl
0.749 0.500 0.248 Tl
0.751 0.000 0.752 Tl
0.000 0.500 0.500 In
0.121 0.500 0.118 In
0.379 0.000 0.882 In
0.500 0.000 0.500 In
0.621 0.000 0.118 In
0.879 0.500 0.882 In
```

Summary:
E: -3.763 eV/atom
Spin magnetization: 0.0 μB/f.u.

***

[8]
PrTlIn2 | GGA-PBE | relaxed

```
PrTlIn2
1.0
4.765 0.000 0.000
0.000 4.765 0.000
0.000 0.000 4.813
Pr Tl In
1 1 2
Direct
0.000 0.000 0.000 Pr
0.500 0.500 0.000 Tl
0.000 0.500 0.500 In
0.500 0.000 0.500 In
```

Summary:
E: -3.572 eV/atom
Spin magnetization: 0.0 μB/f.u.

***

[9]
Pr5TlIn3 | GGA-PBE | relaxed

```
Pr5TlIn3
1.0
9.729 0.000 0.000
-4.865 8.426 0.000
0.000 0.000 6.826
Pr Tl In
10 2 6
Direct
0.000 0.295 0.250 Pr
0.000 0.705 0.750 Pr
0.295 0.000 0.250 Pr
0.295 0.295 0.750 Pr
0.333 0.667 0.000 Pr
0.333 0.667 0.500 Pr
0.667 0.333 0.000 Pr
0.667 0.333 0.500 Pr
0.705 0.000 0.750 Pr
0.705 0.705 0.250 Pr
0.000 0.000 0.000 Tl
0.000 0.000 0.500 Tl
0.000 0.367 0.750 In
0.000 0.633 0.250 In
0.367 0.000 0.750 In
0.367 0.367 0.250 In
0.633 0.000 0.250 In
0.633 0.633 0.750 In
```

Summary:
E: -4.242 eV/atom
Spin magnetization: 0.0 μB/f.u.

***

[10]
Pr2TlIn9 | GGA-PBE | relaxed

```
Pr2TlIn9
1.0
4.729 0.000 0.000
0.000 4.729 0.000
0.000 0.000 14.584
Pr Tl In
2 1 9
Direct
0.000 0.000 0.162 Pr
0.000 0.000 0.838 Pr
0.000 0.000 0.500 Tl
0.000 0.500 0.000 In
0.000 0.500 0.329 In
0.000 0.500 0.671 In
0.500 0.000 0.000 In
0.500 0.000 0.329 In
0.500 0.000 0.671 In
0.500 0.500 0.162 In
0.500 0.500 0.500 In
0.500 0.500 0.838 In
```

Summary:
E: -3.320 eV/atom
Spin magnetization: 0.0 μB/f.u.

***

[11]
Pr7Tl3In | GGA-PBE | relaxed

```
Pr7Tl3In
1.0
-3.033 4.984 5.993
3.033 -4.984 5.993
3.033 4.984 -5.993
Pr Tl In
7 3 1
Direct
0.000 0.000 0.000 Pr
0.096 0.767 0.329 Pr
0.322 0.500 0.822 Pr
0.437 0.767 0.671 Pr
0.563 0.233 0.329 Pr
0.678 0.500 0.178 Pr
0.904 0.233 0.671 Pr
0.265 0.265 0.000 Tl
0.500 0.000 0.500 Tl
0.735 0.735 0.000 Tl
0.000 0.500 0.500 In
```

Summary:
E: -4.117 eV/atom
Spin magnetization: 0.0 μB/f.u.

***

[12]
Pr3TlIn | GGA-PBE | relaxed

```
Pr3TlIn
1.0
5.480 0.000 0.000
-2.740 4.746 0.000
0.000 0.000 12.721
Pr Tl In
6 2 2
Direct
0.000 0.000 0.250 Pr
0.000 0.000 0.750 Pr
0.333 0.667 0.089 Pr
0.333 0.667 0.411 Pr
0.667 0.333 0.589 Pr
0.667 0.333 0.911 Pr
0.000 0.000 0.000 Tl
0.000 0.000 0.500 Tl
0.333 0.667 0.750 In
0.667 0.333 0.250 In
```

Summary:
Polymorph energy (0 for the lowest one): 64 meV/atom
E: -4.147 eV/atom
Spin magnetization: 0.0 μB/f.u.

***

[13]
PrTlIn | GGA-PBE | relaxed

```
PrTlIn
1.0
8.695 0.000 0.000
0.000 5.018 0.000
0.000 0.000 4.571
Pr Tl In
2 2 2
Direct
0.250 0.000 0.059 Pr
0.750 0.000 0.941 Pr
0.250 0.500 0.529 Tl
0.750 0.500 0.471 Tl
0.000 0.500 0.000 In
0.500 0.500 0.000 In
```

Summary:
Polymorph energy (0 for the lowest one): 273 meV/atom
E: -3.396 eV/atom
Spin magnetization: 0.0 μB/f.u.

***

[14]
Pr5Tl4In | GGA-PBE | relaxed

```
Pr5Tl4In
1.0
3.922 0.000 0.000
0.000 3.922 0.000
0.000 0.000 19.673
Pr Tl In
5 4 1
Direct
0.000 0.000 0.000 Pr
0.000 0.000 0.201 Pr
0.000 0.000 0.402 Pr
0.000 0.000 0.598 Pr
0.000 0.000 0.799 Pr
0.500 0.500 0.100 Tl
0.500 0.500 0.301 Tl
0.500 0.500 0.699 Tl
0.500 0.500 0.900 Tl
0.500 0.500 0.500 In
```

Summary:
E: -4.026 eV/atom
Spin magnetization: 0.0 μB/f.u.

***

[15]
Pr3Tm3TlIn2 | GGA-PBE | relaxed

```
Pr3Tm3TlIn2
1.0
9.123 0.000 0.000
-4.561 7.900 0.000
0.000 0.000 3.765
Pr Tm Tl In
3 3 1 2
Direct
0.000 0.290 0.000 Pr
0.290 0.000 0.000 Pr
0.710 0.710 0.000 Pr
0.000 0.617 0.500 Tm
0.383 0.383 0.500 Tm
0.617 0.000 0.500 Tm
0.000 0.000 0.500 Tl
0.333 0.667 0.000 In
0.667 0.333 0.000 In
```

Summary:
E: -4.203 eV/atom
Spin magnetization: 0.5 μB/f.u.

***

[16]
PrYTlIn | GGA-PBE | relaxed

```
PrYTlIn
1.0
7.707 0.000 0.000
0.000 7.707 0.000
0.000 0.000 7.707
Pr Y Tl In
4 4 4 4
Direct
0.000 0.000 0.000 Pr
0.000 0.500 0.500 Pr
0.500 0.000 0.500 Pr
0.500 0.500 0.000 Pr
0.000 0.000 0.500 Y
0.000 0.500 0.000 Y
0.500 0.000 0.000 Y
0.500 0.500 0.500 Y
0.250 0.250 0.750 Tl
0.250 0.750 0.250 Tl
0.750 0.250 0.250 Tl
0.750 0.750 0.750 Tl
0.250 0.250 0.250 In
0.250 0.750 0.750 In
0.750 0.250 0.750 In
0.750 0.750 0.250 In
```

Summary:
E: -4.525 eV/atom
Spin magnetization: 0.0 μB/f.u.

***

[17]
PrTlZnIn | GGA-PBE | relaxed

```
PrTlZnIn
1.0
7.449 0.000 0.000
0.000 7.449 0.000
0.000 0.000 7.449
Pr Tl Zn In
4 4 4 4
Direct
0.000 0.000 0.000 Pr
0.000 0.500 0.500 Pr
0.500 0.000 0.500 Pr
0.500 0.500 0.000 Pr
0.250 0.250 0.750 Tl
0.250 0.750 0.250 Tl
0.750 0.250 0.250 Tl
0.750 0.750 0.750 Tl
0.250 0.250 0.250 Zn
0.250 0.750 0.750 Zn
0.750 0.250 0.750 Zn
0.750 0.750 0.250 Zn
0.000 0.000 0.500 In
0.000 0.500 0.000 In
0.500 0.000 0.000 In
0.500 0.500 0.500 In
```

Summary:
E: -2.951 eV/atom
Spin magnetization: 0.0 μB/f.u.

***

[18]
PrZrTlIn | GGA-PBE | relaxed

```
PrZrTlIn
1.0
7.492 0.000 0.000
0.000 7.492 0.000
0.000 0.000 7.492
Pr Zr Tl In
4 4 4 4
Direct
0.000 0.000 0.000 Pr
0.000 0.500 0.500 Pr
0.500 0.000 0.500 Pr
0.500 0.500 0.000 Pr
0.000 0.000 0.500 Zr
0.000 0.500 0.000 Zr
0.500 0.000 0.000 Zr
0.500 0.500 0.500 Zr
0.250 0.250 0.250 Tl
0.250 0.750 0.750 Tl
0.750 0.250 0.750 Tl
0.750 0.750 0.250 Tl
0.250 0.250 0.750 In
0.250 0.750 0.250 In
0.750 0.250 0.250 In
0.750 0.750 0.750 In
```

Summary:
E: -4.781 eV/atom
Spin magnetization: 0.6 μB/f.u.

***

[19]
Pr4Tm4In | GGA-PBE | relaxed

```
Pr4Tm4In
1.0
-5.385 5.385 2.463
5.385 -5.385 2.463
5.385 5.385 -2.463
Pr Tm In
4 4 1
Direct
0.162 0.162 0.324 Pr
0.162 0.838 0.000 Pr
0.838 0.162 0.000 Pr
0.838 0.838 0.676 Pr
0.162 0.500 0.662 Tm
0.500 0.162 0.662 Tm
0.500 0.838 0.338 Tm
0.838 0.500 0.338 Tm
0.500 0.500 0.000 In
```

Summary:
E: -4.482 eV/atom
Spin magnetization: 0.0 μB/f.u.

***

[20]
Pr9TmIn2 | GGA-PBE | relaxed

```
Pr9TmIn2
1.0
5.047 0.000 0.000
0.000 5.047 0.000
0.000 0.000 15.405
Pr Tm In
9 1 2
Direct
0.000 0.000 0.000 Pr
0.000 0.000 0.336 Pr
0.000 0.000 0.664 Pr
0.000 0.500 0.172 Pr
0.000 0.500 0.500 Pr
0.000 0.500 0.828 Pr
0.500 0.000 0.172 Pr
0.500 0.000 0.500 Pr
0.500 0.000 0.828 Pr
0.500 0.500 0.000 Tm
0.500 0.500 0.338 In
0.500 0.500 0.662 In
```

Summary:
E: -4.588 eV/atom
Spin magnetization: 0.0 μB/f.u.

***

[21]
Pr3Tm6In | GGA-PBE | relaxed

```
Pr3Tm6In
1.0
14.262 0.000 0.000
0.000 3.581 0.000
-6.474 0.000 12.923
Pr Tm In
6 12 2
Direct
0.039 0.250 0.128 Pr
0.220 0.250 0.613 Pr
0.397 0.750 0.526 Pr
0.603 0.250 0.474 Pr
0.780 0.750 0.387 Pr
0.961 0.750 0.872 Pr
0.132 0.750 0.359 Tm
0.148 0.250 0.825 Tm
0.209 0.750 0.059 Tm
0.309 0.250 0.290 Tm
0.370 0.750 0.861 Tm
0.497 0.750 0.245 Tm
0.503 0.250 0.755 Tm
0.630 0.250 0.139 Tm
0.691 0.750 0.710 Tm
0.791 0.250 0.941 Tm
0.852 0.750 0.175 Tm
0.868 0.250 0.641 Tm
0.382 0.250 0.045 In
0.618 0.750 0.955 In
```

Summary:
E: -4.356 eV/atom
Spin magnetization: 0.0 μB/f.u.

***

[22]
Pr4Tm3In2 | GGA-PBE | relaxed

```
Pr4Tm3In2
1.0
5.429 0.000 0.000
-2.713 6.177 0.000
-0.010 -2.113 8.393
Pr Tm In
4 3 2
Direct
0.113 0.226 0.157 Pr
0.333 0.666 0.534 Pr
0.667 0.334 0.466 Pr
0.887 0.774 0.843 Pr
0.000 0.000 0.500 Tm
0.417 0.834 0.141 Tm
0.583 0.166 0.859 Tm
0.203 0.407 0.816 In
0.797 0.593 0.184 In
```

Summary:
E: -4.396 eV/atom
Spin magnetization: 0.0 μB/f.u.